First-principles (PBE) data for a relaxed structure of SrCaPN3, as listed in Alexandria via LeMat-Bulk.

The structure in extended XYZ format:
```
12
Lattice="-0.471 -3.444 -1.472 3.210 3.524 -4.430 5.111 -2.719 4.728" Properties=species:S:1:pos:R:3 pbc="T T T"
Sr 6.802 -1.243 0.733
Sr 1.048 -1.397 -1.907
Ca 3.538 -2.742 0.444
Ca 4.312 0.102 -1.618
P 1.165 -0.611 1.057
P 6.685 -2.029 -2.231
N 2.979 -0.972 -3.518
N 5.274 -2.217 -1.341
N 4.272 1.110 -3.963
N 2.576 -0.423 0.166
N 3.578 -3.750 2.789
N 4.871 -1.668 2.344
```

Values from the calculation:
Calculated volume, A^3/atom: 14.0
Uncorrected formation energy, eV/atom: -0.492
Electronic total energy, eV per cell: -74.0

=====

First-principles (PBE) data for a relaxed structure of Ca2TcPN5, as listed in Alexandria via LeMat-Bulk.

The structure in extended XYZ format:
```
18
Lattice="-0.304 -1.689 -2.442 1.537 -5.259 5.269 -9.814 -0.972 1.893" Properties=species:S:1:pos:R:3 pbc="T T T"
Ca -6.865 -6.312 3.395
Ca -6.388 -1.941 2.137
Ca -2.553 -1.690 1.486
Ca -0.828 -5.843 2.319
Tc -4.557 -4.687 1.984
Tc 0.375 -2.796 1.887
P -9.223 -2.451 1.018
P -3.094 -5.838 4.422
N -8.777 -5.140 4.646
N -8.572 -3.773 1.852
N -7.985 -1.712 0.353
N -5.649 -4.132 3.560
N -4.102 -6.955 3.496
N -4.532 -3.247 0.986
N -3.058 -4.448 3.456
N -1.582 -6.305 4.557
N -1.095 -3.606 0.805
N -0.197 -0.540 0.398
```

Values from the calculation:
Calculated volume, A^3/atom: 12.4
Uncorrected formation energy, eV/atom: -0.537
Electronic total energy, eV per cell: -132.5

=====

First-principles (PBE) data for a relaxed structure of CaTePN2, as listed in Alexandria via LeMat-Bulk.

The structure in extended XYZ format:
```
5
Lattice="4.436 0.000 0.000 0.000 4.436 0.000 0.000 0.000 6.671" Properties=species:S:1:pos:R:3 pbc="T T T"
P 2.218 2.218 3.336
Ca 0.000 0.000 0.000
Te 0.000 0.000 3.336
N 0.000 2.218 0.000
N 2.218 0.000 0.000
```

Values from the calculation:
Calculated volume, A^3/atom: 26.3
Uncorrected formation energy, eV/atom: 1.561
Electronic total energy, eV per cell: -19.4

=====

First-principles (PBE) data for a relaxed structure of CaTePN2, as listed in Alexandria via LeMat-Bulk.

The structure in extended XYZ format:
```
5
Lattice="3.978 0.000 0.000 0.000 3.978 0.000 0.000 0.000 5.415" Properties=species:S:1:pos:R:3 pbc="T T T"
P 0.000 0.000 0.000
Ca 1.989 1.989 2.708
Te 0.000 0.000 2.708
N 0.000 1.989 0.000
N 1.989 0.000 0.000
```

Values from the calculation:
Calculated volume, A^3/atom: 17.1
Uncorrected formation energy, eV/atom: 0.717
Electronic total energy, eV per cell: -23.6

=====

First-principles (PBE) data for a relaxed structure of CaTe2PN, as listed in Alexandria via LeMat-Bulk.

The structure in extended XYZ format:
```
5
Lattice="5.861 0.000 0.000 0.000 5.861 0.000 0.000 0.000 4.381" Properties=species:S:1:pos:R:3 pbc="T T T"
P 2.930 2.930 2.190
Ca 0.000 0.000 0.000
Te 0.000 2.930 0.000
Te 2.930 0.000 0.000
N 0.000 0.000 2.190
```

Values from the calculation:
Calculated volume, A^3/atom: 30.1
Uncorrected formation energy, eV/atom: 1.090
Electronic total energy, eV per cell: -16.6

=====

First-principles (PBE) data for a relaxed structure of CaTe2PN, as listed in Alexandria via LeMat-Bulk.

The structure in extended XYZ format:
```
5
Lattice="5.756 0.000 0.000 0.000 5.756 0.000 0.000 0.000 3.400" Properties=species:S:1:pos:R:3 pbc="T T T"
P 0.000 0.000 0.000
Ca 2.878 2.878 1.700
Te 0.000 2.878 0.000
Te 2.878 0.000 0.000
N 0.000 0.000 1.700
```

Values from the calculation:
Calculated volume, A^3/atom: 22.5
Uncorrected formation energy, eV/atom: -0.056
Electronic total energy, eV per cell: -22.3

=====

First-principles (PBE) data for a relaxed structure of CaTh2PN5, as listed in Alexandria via LeMat-Bulk.

The structure in extended XYZ format:
```
18
Lattice="5.644 0.000 0.000 0.000 6.763 0.000 0.000 0.000 6.763" Properties=species:S:1:pos:R:3 pbc="T T T"
Ca 0.000 3.382 3.382
Ca 0.000 0.000 0.000
Th 2.822 4.621 1.239
Th 2.822 1.239 2.142
Th 2.822 5.524 4.621
Th 2.822 2.142 5.524
P 0.000 0.000 3.382
P 0.000 3.382 0.000
N 2.822 3.382 3.382
N 2.822 0.000 0.000
N 1.231 0.868 4.250
N 1.231 5.895 2.514
N 1.231 2.514 0.868
N 1.231 4.250 5.895
N 4.413 0.868 4.250
N 4.413 4.250 5.895
N 4.413 5.895 2.514
N 4.413 2.514 0.868
```

Values from the calculation:
Calculated volume, A^3/atom: 14.3
Uncorrected formation energy, eV/atom: -1.003
Electronic total energy, eV per cell: -145.8

=====

First-principles (PBE) data for a relaxed structure of Ca2TiP2N6, as listed in Alexandria via LeMat-Bulk.

The structure in extended XYZ format:
```
11
Lattice="5.475 0.000 0.000 2.737 4.741 0.000 2.737 1.580 5.413" Properties=species:S:1:pos:R:3 pbc="T T T"
Ca 8.212 4.741 3.365
Ca 2.737 1.580 2.048
Ti 0.000 0.000 0.000
P 5.475 3.161 4.155
P 5.475 3.161 1.257
N 6.835 3.946 1.309
N 4.115 3.946 1.309
N 5.475 1.590 1.309
N 5.475 4.731 4.104
N 6.835 2.376 4.104
N 4.115 2.376 4.104
```

Values from the calculation:
Calculated volume, A^3/atom: 12.8
Uncorrected formation energy, eV/atom: -0.795
Electronic total energy, eV per cell: -81.4

=====

First-principles (PBE) data for a relaxed structure of CaUPN, as listed in Alexandria via LeMat-Bulk.

The structure in extended XYZ format:
```
4
Lattice="-0.596 0.431 3.647 1.432 -2.436 2.419 5.488 2.829 2.460" Properties=species:S:1:pos:R:3 pbc="T T T"
Ca 4.836 0.679 6.402
U 1.358 0.056 2.113
P 3.051 0.337 4.254
N 1.079 -1.843 6.087
```

Values from the calculation:
Calculated volume, A^3/atom: 18.8
Uncorrected formation energy, eV/atom: -1.076
Electronic total energy, eV per cell: -31.3

=====

First-principles (PBE) data for a relaxed structure of CaUP2N6, as listed in Alexandria via LeMat-Bulk.

The structure in extended XYZ format:
```
20
Lattice="-2.782 4.336 0.897 -5.410 -1.242 -4.182 -3.866 -2.219 5.331" Properties=species:S:1:pos:R:3 pbc="T T T"
Ca -5.970 -0.243 -3.127
Ca -6.088 1.118 5.173
U -5.032 -0.837 2.658
U -7.027 1.713 -0.612
P -7.392 -1.325 0.225
P -3.537 0.198 -0.244
P -4.666 2.200 1.821
P -8.521 0.677 2.290
N -8.771 -2.119 0.008
N -2.271 1.063 -0.719
N -3.288 2.994 2.038
N -9.787 -0.188 2.765
N -7.074 -0.255 -0.975
N -4.249 -0.622 -1.471
N -4.985 1.130 3.021
N -7.809 1.497 3.517
N -8.860 1.952 1.208
N -4.724 1.176 0.458
N -3.198 -1.077 0.838
N -7.335 -0.301 1.588
```

Values from the calculation:
Calculated volume, A^3/atom: 12.3
Uncorrected formation energy, eV/atom: -0.814
Electronic total energy, eV per cell: -164.4

=====

First-principles (PBE) data for a relaxed structure of CaU2PN5, as listed in Alexandria via LeMat-Bulk.

The structure in extended XYZ format:
```
18
Lattice="5.351 0.000 0.000 0.000 6.497 0.000 0.000 0.000 6.497" Properties=species:S:1:pos:R:3 pbc="T T T"
Ca 0.000 3.248 3.248
Ca 0.000 0.000 0.000
U 2.675 4.397 1.148
U 2.675 1.148 2.100
U 2.675 5.348 4.397
U 2.675 2.100 5.348
P 0.000 0.000 3.248
P 0.000 3.248 0.000
N 2.675 3.248 3.248
N 2.675 0.000 0.000
N 1.269 0.886 4.134
N 1.269 5.611 2.362
N 1.269 2.362 0.886
N 1.269 4.134 5.611
N 4.082 0.886 4.134
N 4.082 4.134 5.611
N 4.082 5.611 2.362
N 4.082 2.362 0.886
```

Values from the calculation:
Calculated volume, A^3/atom: 12.5
Uncorrected formation energy, eV/atom: -0.894
Electronic total energy, eV per cell: -159.3

=====

First-principles (PBE) data for a relaxed structure of CaVP2N6, as listed in Alexandria via LeMat-Bulk.

The structure in extended XYZ format:
```
20
Lattice="-2.256 -4.820 1.368 4.686 -3.160 4.402 -4.414 1.402 5.466" Properties=species:S:1:pos:R:3 pbc="T T T"
Ca 3.103 -3.854 4.864
Ca -5.087 -2.724 6.373
V -2.964 -0.813 5.573
V 0.980 -5.765 5.664
P 0.141 -3.093 7.240
P 0.339 -1.745 3.156
P -2.125 -3.485 3.997
P -2.323 -4.833 8.081
N 0.735 -3.018 8.775
N 0.341 -2.119 1.552
N -2.719 -3.560 2.462
N -2.325 -4.459 9.685
N 0.978 -4.094 6.256
N 1.801 -1.896 3.871
N -2.962 -2.484 4.980
N -3.785 -4.682 7.365
N 0.383 -1.579 6.677
N -0.616 -2.901 3.803
N -2.367 -4.999 4.560
N -1.368 -3.676 7.434
```

Values from the calculation:
Calculated volume, A^3/atom: 13.0
Uncorrected formation energy, eV/atom: -0.498
Electronic total energy, eV per cell: -153.7